# 1
The following is a DFT calculation (PBE) of crystalline CaInGe2Pd5 at its relaxed geometry.

Geometry as POSCAR:
```
CaInGe2Pd5
1.0
4.6880 0.0000 0.0000
0.0000 4.6880 0.0000
0.0000 0.0000 7.5525
Pd Ge In Ca
5 2 1 1
direct
0.5000 0.0000 0.2561 Pd
0.0000 0.5000 0.7439 Pd
0.0000 0.5000 0.2561 Pd
0.5000 0.0000 0.7439 Pd
0.5000 0.5000 0.5000 Pd
0.5000 0.5000 0.8404 Ge
0.5000 0.5000 0.1596 Ge
0.0000 0.0000 0.0000 In
0.0000 0.0000 0.5000 Ca
```

Summary:
For the formation energy, the calculation gives -0.471 eV per atom. For the density of states at the Fermi level, the calculation gives 3.06 states/eV/cell. Its total energy is -4.909 eV per atom. The volume is 166.0 Å³/cell.

=====

# 2
The following is a DFT calculation (PBE) of crystalline CaInGePd at its relaxed geometry.

Geometry as POSCAR:
```
CaInGePd
1.0
-3.5361 -3.3245 -0.7619
1.1223 -4.7790 -0.1960
-1.3783 -2.9982 3.6397
In Ge Pd Ca
1 1 1 1
direct
0.5000 0.5000 0.5000 In
0.2500 0.2500 0.2500 Ge
0.7500 0.7500 0.7500 Pd
0.0000 0.0000 0.0000 Ca
```

Summary:
For the formation energy, the calculation gives -0.393 eV per atom. For the density of states at the Fermi level, the calculation gives 2.84 states/eV/cell. Its total energy is -4.030 eV per atom. The volume is 83.8 Å³/cell.

=====

# 3
The following is a DFT calculation (PBE) of crystalline Ca2InGePd6 at its relaxed geometry.

Geometry as POSCAR:
```
Ca2InGePd6
1.0
-2.5822 2.2759 5.9377
-6.2902 0.0257 -2.7454
-5.0957 -3.4276 3.0642
Pd Ca Ge In
6 2 1 1
direct
0.2395 0.2395 0.0000 Pd
0.7605 0.2395 0.0000 Pd
0.2395 0.7605 0.0000 Pd
0.7605 0.7605 0.0000 Pd
0.7605 0.7605 0.4790 Pd
0.2395 0.2395 0.5210 Pd
0.7500 0.2500 0.5000 Ca
0.2500 0.7500 0.5000 Ca
0.0000 0.0000 0.0000 Ge
0.5000 0.5000 0.0000 In
```

Summary:
For the formation energy, the calculation gives -0.252 eV per atom. For the density of states at the Fermi level, the calculation gives 5.22 states/eV/cell. Its total energy is -4.503 eV per atom. The volume is 228.6 Å³/cell.

=====

# 4
The following is a DFT calculation (PBE) of crystalline Ca2InGe4Pt3 at its relaxed geometry.

Geometry as POSCAR:
```
Ca2InGe4Pt3
1.0
-3.1001 -1.3555 2.6653
2.8699 -0.2710 3.2002
-2.1211 10.3078 2.7750
Pt In Ge Ca
3 1 4 2
direct
0.0000 0.0000 0.5000 Pt
0.5000 0.0000 0.8780 Pt
0.0000 0.5000 0.1220 Pt
0.5000 0.5000 0.5000 In
0.5000 0.5000 0.0000 Ge
0.0000 0.0000 0.0000 Ge
0.0000 0.5000 0.3479 Ge
0.5000 0.0000 0.6521 Ge
0.0000 0.5000 0.7559 Ca
0.5000 0.0000 0.2441 Ca
```

Summary:
For the formation energy, the calculation gives -0.659 eV per atom. For the density of states at the Fermi level, the calculation gives 5.30 states/eV/cell. Its total energy is -4.992 eV per atom. The volume is 201.9 Å³/cell.

=====

# 5
The following is a DFT calculation (PBE) of crystalline Ca2InGePt6 at its relaxed geometry.

Geometry as POSCAR:
```
Ca2InGePt6
1.0
6.8770 -0.0004 0.0000
0.0004 6.8770 0.0000
3.4387 3.4383 4.8628
Pt Ca Ge In
6 2 1 1
direct
0.2394 0.2394 0.5213 Pt
0.7606 0.7606 0.0000 Pt
0.7606 0.2394 0.0000 Pt
0.2394 0.7606 0.0000 Pt
0.2394 0.2394 0.0000 Pt
0.7606 0.7606 0.4787 Pt
0.7500 0.2500 0.5000 Ca
0.2500 0.7500 0.5000 Ca
0.0000 0.0000 0.0000 Ge
0.5000 0.5000 0.0000 In
```

Summary:
For the formation energy, the calculation gives -0.102 eV per atom. For the density of states at the Fermi level, the calculation gives 6.19 states/eV/cell. Its total energy is -4.862 eV per atom. The volume is 230.0 Å³/cell.

=====

# 6
The following is a DFT calculation (PBE) of crystalline CaPuInGe at its relaxed geometry.

Geometry as POSCAR:
```
CaPuInGe
1.0
5.2618 0.0000 0.0000
2.6309 4.5569 0.0000
2.6309 1.5190 4.2962
Pu Ca Ge In
1 1 1 1
direct
0.0000 0.0000 0.0000 Pu
0.5000 0.5000 0.5000 Ca
0.2500 0.2500 0.2500 Ge
0.7500 0.7500 0.7500 In
```

Summary:
For the formation energy, the calculation gives -0.289 eV per atom. For the density of states at the Fermi level, the calculation gives 12.11 states/eV/cell. Its total energy is -6.211 eV per atom. The volume is 103.0 Å³/cell.

=====

# 7
The following is a DFT calculation (PBE) of crystalline CaIn2ReGe at its relaxed geometry.

Geometry as POSCAR:
```
CaIn2ReGe
1.0
-4.7367 -1.5763 -1.7466
-1.2973 -1.0558 4.4712
-1.8627 4.9111 0.6192
Ge Re In Ca
1 1 2 1
direct
0.0000 0.0000 0.0000 Ge
0.0000 0.5000 0.0000 Re
0.0000 0.0000 0.5000 In
0.5000 0.0000 0.0000 In
0.5000 0.5000 0.5000 Ca
```

Summary:
For the formation energy, the calculation gives 0.705 eV per atom. For the density of states at the Fermi level, the calculation gives 4.12 states/eV/cell. Its total energy is -4.204 eV per atom. The volume is 133.5 Å³/cell.

=====

# 8
The following is a DFT calculation (PBE) of crystalline CaInReGe2 at its relaxed geometry.

Geometry as POSCAR:
```
CaInReGe2
1.0
5.2091 0.0000 0.0000
0.0000 5.2052 0.0000
0.0000 0.0000 5.2091
Ca Re In Ge
1 1 1 2
direct
0.5000 0.5000 0.5000 Ca
0.0000 0.5000 0.0000 Re
0.0000 0.0000 0.0000 In
0.0000 0.0000 0.5000 Ge
0.5000 0.0000 0.0000 Ge
```

Summary:
For the formation energy, the calculation gives 1.168 eV per atom. For the density of states at the Fermi level, the calculation gives 3.96 states/eV/cell. Its total energy is -4.116 eV per atom. The volume is 141.2 Å³/cell.

=====

# 9
The following is a DFT calculation (PBE) of crystalline Ca2InGe4Rh3 at its relaxed geometry.

Geometry as POSCAR:
```
Ca2InGe4Rh3
1.0
4.2571 0.0000 0.0000
0.0000 4.2571 0.0000
0.0000 0.0000 10.7225
Ge Ca In Rh
4 2 1 3
direct
0.5000 0.0000 0.6530 Ge
0.0000 0.5000 0.3470 Ge
0.0000 0.0000 0.0000 Ge
0.5000 0.5000 0.0000 Ge
0.5000 0.0000 0.2382 Ca
0.0000 0.5000 0.7618 Ca
0.5000 0.5000 0.5000 In
0.0000 0.0000 0.5000 Rh
0.5000 0.0000 0.8809 Rh
0.0000 0.5000 0.1191 Rh
```

Summary:
For the formation energy, the calculation gives -0.563 eV per atom. For the density of states at the Fermi level, the calculation gives 6.79 states/eV/cell. Its total energy is -5.289 eV per atom. The volume is 194.3 Å³/cell.

=====

# 10
The following is a DFT calculation (PBE) of crystalline CaInGe2S at its relaxed geometry.

Geometry as POSCAR:
```
CaInGe2S
1.0
-4.6968 -1.8408 0.5517
1.9497 -4.6062 1.2287
0.0543 1.3293 4.8972
S Ge Ca In
1 2 1 1
direct
0.0000 0.0000 0.0000 S
0.0000 0.0000 0.5000 Ge
0.5000 0.0000 0.0000 Ge
0.0000 0.5000 0.0000 Ca
0.5000 0.5000 0.5000 In
```

Summary:
For the density of states at the Fermi level, the calculation gives 3.25 states/eV/cell. Its total energy is -3.724 eV per atom. For the uncorrected formation energy, the calculation gives -0.518 eV per formula unit. The volume is 132.6 Å³/cell.

=====

# 11
The following is a DFT calculation (PBE) of crystalline SrCa2In2Ge at its relaxed geometry.

Geometry as POSCAR:
```
SrCa2In2Ge
1.0
-2.7740 0.2638 5.6836
0.3811 -4.1072 -4.8015
11.0752 -5.5952 5.6651
Sr Ge In Ca
2 2 4 4
direct
0.6565 0.3435 0.2500 Sr
0.3435 0.6565 0.7500 Sr
0.0628 0.9372 0.7500 Ge
0.9372 0.0628 0.2500 Ge
0.9178 0.0822 0.5816 In
0.9178 0.0822 0.9184 In
0.0822 0.9178 0.0816 In
0.0822 0.9178 0.4184 In
0.6297 0.3703 0.9032 Ca
0.6297 0.3703 0.5968 Ca
0.3703 0.6297 0.0968 Ca
0.3703 0.6297 0.4032 Ca
```

Summary:
For the formation energy, the calculation gives -0.486 eV per atom. For the density of states at the Fermi level, the calculation gives 7.87 states/eV/cell. Its total energy is -3.116 eV per atom. The volume is 370.9 Å³/cell.

=====

# 12
The following is a DFT calculation (PBE) of crystalline SrCaInGe at its relaxed geometry.

Geometry as POSCAR:
```
SrCaInGe
1.0
5.4674 0.0000 0.0000
2.7337 4.7349 0.0000
2.7337 1.5783 4.4641
Sr Ca Ge In
1 1 1 1
direct
0.0000 0.0000 0.0000 Sr
0.5000 0.5000 0.5000 Ca
0.2500 0.2500 0.2500 Ge
0.7500 0.7500 0.7500 In
```

Summary:
For the formation energy, the calculation gives -0.417 eV per atom. For the density of states at the Fermi level, the calculation gives 2.61 states/eV/cell. Its total energy is -3.176 eV per atom. The volume is 115.6 Å³/cell.

=====

# 13
The following is a DFT calculation (PBE) of crystalline CaIn2TcGe at its relaxed geometry.

Geometry as POSCAR:
```
CaIn2TcGe
1.0
5.2467 0.0000 0.0000
0.0000 5.4567 0.0000
0.0000 0.0000 5.2467
Ca Tc Ge In
1 1 1 2
direct
0.0000 0.5000 0.0000 Ca
0.5000 0.5000 0.5000 Tc
0.0000 0.0000 0.0000 Ge
0.0000 0.0000 0.5000 In
0.5000 0.0000 0.0000 In
```

Summary:
For the formation energy, the calculation gives 0.914 eV per atom. For the density of states at the Fermi level, the calculation gives 6.71 states/eV/cell. Its total energy is -3.578 eV per atom. The volume is 150.2 Å³/cell.

=====

# 14
The following is a DFT calculation (PBE) of crystalline CaTlInGe at its relaxed geometry.

Geometry as POSCAR:
```
CaTlInGe
1.0
5.2939 0.0000 0.0000
2.6469 4.5846 0.0000
2.6469 1.5282 4.3224
Tl In Ca Ge
1 1 1 1
direct
0.7500 0.7500 0.7500 Tl
0.5000 0.5000 0.5000 In
0.0000 0.0000 0.0000 Ca
0.2500 0.2500 0.2500 Ge
```

Summary:
For the formation energy, the calculation gives -0.163 eV per atom. For the density of states at the Fermi level, the calculation gives 2.22 states/eV/cell. Its total energy is -3.094 eV per atom. The volume is 104.9 Å³/cell.

=====

# 15
The following is a DFT calculation (PBE) of crystalline CaZnInGe at its relaxed geometry.

Geometry as POSCAR:
```
CaZnInGe
1.0
-2.7197 3.1298 2.8878
-2.0047 -1.6595 4.3311
1.8487 1.6078 4.4191
Ge Zn Ca In
1 1 1 1
direct
0.7500 0.7500 0.7500 Ge
0.2500 0.2500 0.2500 Zn
0.0000 0.0000 0.0000 Ca
0.5000 0.5000 0.5000 In
```

Summary:
For the formation energy, the calculation gives -0.155 eV per atom. For the density of states at the Fermi level, the calculation gives 3.48 states/eV/cell. Its total energy is -2.813 eV per atom. The volume is 91.2 Å³/cell.

=====

# 16
The following is a DFT calculation (PBE) of crystalline Ca2Zn3InGe4 at its relaxed geometry.

Geometry as POSCAR:
```
Ca2Zn3InGe4
1.0
4.4419 0.0000 0.0000
0.0000 4.4419 0.0000
0.0000 0.0000 10.7695
Ge Ca Zn In
4 2 3 1
direct
0.5000 0.5000 0.0000 Ge
0.0000 0.0000 0.0000 Ge
0.0000 0.5000 0.3536 Ge
0.5000 0.0000 0.6464 Ge
0.0000 0.5000 0.7654 Ca
0.5000 0.0000 0.2346 Ca
0.0000 0.0000 0.5000 Zn
0.5000 0.0000 0.8734 Zn
0.0000 0.5000 0.1266 Zn
0.5000 0.5000 0.5000 In
```

Summary:
For the formation energy, the calculation gives -0.263 eV per atom. For the density of states at the Fermi level, the calculation gives 2.54 states/eV/cell. Its total energy is -3.166 eV per atom. The volume is 212.5 Å³/cell.

=====

# 17
The following is a DFT calculation (PBE) of crystalline Ca2Zn4InGe3 at its relaxed geometry.

Geometry as POSCAR:
```
Ca2Zn4InGe3
1.0
4.3204 0.0000 0.0000
0.0000 4.3204 0.0000
0.0000 0.0000 10.9887
Zn Ge Ca In
4 3 2 1
direct
0.5000 0.0000 0.6454 Zn
0.0000 0.5000 0.3546 Zn
0.0000 0.0000 0.0000 Zn
0.5000 0.5000 0.0000 Zn
0.0000 0.5000 0.1325 Ge
0.0000 0.0000 0.5000 Ge
0.5000 0.0000 0.8675 Ge
0.5000 0.0000 0.2406 Ca
0.0000 0.5000 0.7594 Ca
0.5000 0.5000 0.5000 In
```

Summary:
For the formation energy, the calculation gives -0.308 eV per atom. For the density of states at the Fermi level, the calculation gives 3.06 states/eV/cell. Its total energy is -2.877 eV per atom. The volume is 205.1 Å³/cell.

=====

# 18
The following is a DFT calculation (PBE) of crystalline Ca3Ge2Ir at its relaxed geometry.

Geometry as POSCAR:
```
Ca3Ge2Ir
1.0
0.8104 7.3435 4.1430
-6.9674 3.7410 -5.2681
-5.4214 -5.4264 3.3167
Ca Ge Ir
12 8 4
direct
0.7523 0.6278 0.5360 Ca
0.3666 0.5124 0.1280 Ca
0.5246 0.1568 0.2213 Ca
0.2523 0.8722 0.0360 Ca
0.9754 0.6568 0.2787 Ca
0.8666 0.9876 0.6280 Ca
0.1334 0.0124 0.3720 Ca
0.2477 0.3722 0.4640 Ca
0.6334 0.4876 0.8720 Ca
0.0246 0.3432 0.7213 Ca
0.7477 0.1278 0.9640 Ca
0.4754 0.8432 0.7787 Ca
0.3178 0.1358 0.7579 Ge
0.6359 0.3267 0.5586 Ge
0.8178 0.3642 0.2579 Ge
0.1359 0.1733 0.0586 Ge
0.8641 0.8267 0.9414 Ge
0.1822 0.6358 0.7421 Ge
0.6822 0.8642 0.2421 Ge
0.3641 0.6733 0.4414 Ge
0.5007 0.8874 0.4175 Ir
0.4993 0.1126 0.5825 Ir
0.9993 0.3874 0.0825 Ir
0.0007 0.6126 0.9175 Ir
```

Summary:
For the formation energy, the calculation gives -0.478 eV per atom. For the density of states at the Fermi level, the calculation gives 14.29 states/eV/cell. Its total energy is -4.495 eV per atom. The volume is 607.0 Å³/cell.

=====

# 19
The following is a DFT calculation (PBE) of crystalline Ca2Ge5Ir3 at its relaxed geometry.

Geometry as POSCAR:
```
Ca2Ge5Ir3
1.0
5.9681 0.0000 0.0000
2.9841 7.9602 0.1197
2.9841 1.3461 7.8465
Ge Ca Ir
10 4 6
direct
0.0953 0.0710 0.7385 Ge
0.5953 0.7385 0.0710 Ge
0.4681 0.7819 0.7819 Ge
0.5319 0.2181 0.2181 Ge
0.4047 0.2615 0.9290 Ge
0.9047 0.9290 0.2615 Ge
0.7500 0.5000 0.5000 Ge
0.2500 0.5000 0.5000 Ge
0.0319 0.2181 0.2181 Ge
0.9681 0.7819 0.7819 Ge
0.6370 0.1338 0.5922 Ca
0.8630 0.4078 0.8662 Ca
0.1370 0.5922 0.1338 Ca
0.3630 0.8662 0.4078 Ca
0.8574 0.7467 0.5385 Ir
0.7500 0.0000 0.0000 Ir
0.1426 0.2533 0.4615 Ir
0.3574 0.5385 0.7467 Ir
0.6426 0.4615 0.2533 Ir
0.2500 0.0000 0.0000 Ir
```

Summary:
For the formation energy, the calculation gives -0.584 eV per atom. For the density of states at the Fermi level, the calculation gives 7.39 states/eV/cell. Its total energy is -5.951 eV per atom. The volume is 371.8 Å³/cell.

=====

# 20
The following is a DFT calculation (PBE) of crystalline CaGe3Ir at its relaxed geometry.

Geometry as POSCAR:
```
CaGe3Ir
1.0
-1.7162 -5.4746 -0.6675
5.1628 -1.3924 -1.8705
1.7771 -1.2705 5.8518
Ge Ir Ca
6 2 2
direct
0.9672 0.4898 0.4607 Ge
0.4670 0.8630 0.4405 Ge
0.9671 0.4898 0.9406 Ge
0.3600 0.2768 0.2010 Ge
0.8604 0.0763 0.7010 Ge
0.4672 0.8631 0.9608 Ge
0.1573 0.7817 0.7007 Ir
0.6572 0.5709 0.2007 Ir
0.9264 0.0236 0.2009 Ca
0.4264 0.3289 0.7009 Ca
```

Summary:
For the formation energy, the calculation gives -0.406 eV per atom. For the density of states at the Fermi level, the calculation gives 5.71 states/eV/cell. Its total energy is -5.349 eV per atom. The volume is 204.4 Å³/cell.